! Cs2LaBr6Cl (PBE-GGA, optimized geometry); values from VASP
! Magnetization = 0.00 Bohr magnetons per cell
! Uncorrected formation energy = -138.7 kJ per mole of atoms
! V = 44.76 Å³ per atom
! Mass density = 3411 kg/m³
! Space-group type = I4/mmm (139)
&SYSTEM
  ibrav = 0, nat = 10, ntyp = 4
/
ATOMIC_SPECIES
Cs 132.91 Cs.upf
La 138.91 La.upf
Br 79.90 Br.upf
Cl 35.45 Cl.upf
CELL_PARAMETERS angstrom
-4.553 4.553 5.399
4.553 -4.553 5.399
4.553 4.553 -5.399
ATOMIC_POSITIONS angstrom
Cs 4.553 0.000 2.700
Cs 0.000 4.553 2.700
La 0.000 0.000 0.000
Br 2.043 2.043 0.000
Br 2.510 -2.510 5.399
Br 0.000 0.000 3.000
Br 0.000 0.000 7.799
Br -2.510 2.510 5.399
Br 2.510 2.510 5.399
Cl 0.000 0.000 5.399

! TlCuOs2 (PBE-GGA, optimized geometry); values from VASP
! Magnetization = 0.00 Bohr magnetons per cell
! ΔH_f (0 K) = 402 kJ/mol of formula units
! Distance to the lowest polymorph of the same formula = 539 meV per atom
! V = 16.19 Å³ per atom
! Mass density = 16621 kg/m³
! Space-group type = Cmmm (65)
&SYSTEM
  ibrav = 0, nat = 4, ntyp = 3
/
ATOMIC_SPECIES
Tl 204.38 Tl.upf
Cu 63.55 Cu.upf
Os 190.23 Os.upf
CELL_PARAMETERS angstrom
2.610 -4.239 0.000
2.610 4.239 0.000
0.000 0.000 2.927
ATOMIC_POSITIONS angstrom
Tl 0.000 0.000 0.000
Cu 2.610 0.000 0.000
Os 1.305 2.120 1.464
Os 1.305 -2.120 1.464

! Ta2CdSnSe (PBE-GGA, optimized geometry); values from VASP
! Magnetization = 0.00 Bohr magnetons per cell
! Uncorrected formation energy = 166.1 kJ per mole of atoms
! V = 27.96 Å³ per atom
! Mass density = 7982 kg/m³
! Space-group type = P4/mmm (123)
&SYSTEM
  ibrav = 0, nat = 5, ntyp = 4
/
ATOMIC_SPECIES
Ta 180.95 Ta.upf
Cd 112.41 Cd.upf
Sn 118.71 Sn.upf
Se 78.96 Se.upf
CELL_PARAMETERS angstrom
5.186 0.000 0.000
0.000 5.186 0.000
0.000 0.000 5.198
ATOMIC_POSITIONS angstrom
Ta 0.000 2.593 0.000
Ta 2.593 0.000 0.000
Cd 0.000 0.000 2.599
Sn 2.593 2.593 0.000
Se 2.593 2.593 2.599

! CuNiW (PBE-GGA, optimized geometry); values from VASP
! Magnetization = 0.00 Bohr magnetons per cell
! ΔH_f (0 K) = 275 kJ/mol of formula units
! Distance to the lowest polymorph of the same formula = 849 meV per atom
! V = 15.73 Å³ per atom
! Mass density = 10769 kg/m³
! Space-group type = F-43m (216)
&SYSTEM
  ibrav = 0, nat = 3, ntyp = 3
/
ATOMIC_SPECIES
Cu 63.55 Cu.upf
Ni 58.69 Ni.upf
W 183.84 W.upf
CELL_PARAMETERS angstrom
0.000 2.868 2.868
2.868 0.000 2.868
2.868 2.868 0.000
ATOMIC_POSITIONS angstrom
Cu 0.000 0.000 0.000
Ni 2.868 2.868 2.868
W 1.434 1.434 1.434